Record 1
Compound: MgRuSeN2
Source: Alexandria via LeMat-Bulk
Functional: GGA-PBE
Structure: optimized geometry

Values from the calculation:
E above lowest polymorph: 0 meV/atom
Total magnetic moment: 0.077 μB/atom
VASP energy: -5.893 eV per atom
Energy relative to the elements, uncorrected: 308 meV/atom

```
MgRuSeN2
1.0
-1.347 2.386 2.642
-3.366 -1.772 -0.116
1.659 -3.408 3.924
Ru Mg Se N
1 1 1 2
direct
0.000 0.000 0.000 Ru
0.500 0.500 0.500 Mg
0.000 0.000 0.500 Se
0.000 0.500 0.000 N
0.500 0.000 0.000 N
```

=====

Record 2
Compound: Li3Tm3NpSe8
Source: Alexandria via LeMat-Bulk
Functional: GGA-PBE
Structure: optimized geometry

Values from the calculation:
Total magnetic moment: 0.200 μB/atom
VASP energy: -5.545 eV per atom
Energy relative to the elements, uncorrected: -1547 meV/atom

```
Li3Tm3NpSe8
1.0
-7.298 -3.237 1.333
6.591 -3.413 3.226
-2.637 7.056 2.692
Li Tm Np Se
3 3 1 8
direct
0.000 0.000 0.000 Li
0.000 0.500 0.000 Li
0.500 0.500 0.000 Li
0.500 0.000 0.500 Tm
0.500 0.500 0.500 Tm
0.000 0.500 0.500 Tm
0.000 0.000 0.500 Np
0.250 0.500 0.250 Se
0.750 0.500 0.750 Se
0.751 0.502 0.253 Se
0.249 0.498 0.747 Se
0.751 0.002 0.253 Se
0.249 0.998 0.747 Se
0.250 0.002 0.253 Se
0.750 0.998 0.747 Se
```